Entry from Alexandria: a geometry-optimized KMn2Hg structure (PBE).

Cell and atoms, written as extended XYZ:
```
4
Lattice="-3.668 -1.129 -4.776 -0.086 -3.669 4.907 -2.079 1.660 1.204" Properties=species:S:1:pos:R:3 pbc="T T T"
Hg -2.874 0.265 -1.786
K -1.083 -1.005 3.056
Mn 0.000 0.000 0.000
Mn -1.877 -2.399 0.065
```

formation energy from the elements: 916 meV/atom
E: -16.076 eV for the cell shown

***

Entry from Alexandria: a geometry-optimized KMn2Hg structure (PBE).

Cell and atoms, written as extended XYZ:
```
4
Lattice="4.711 -0.115 0.152 2.449 4.026 0.152 2.190 1.196 6.360" Properties=species:S:1:pos:R:3 pbc="T T T"
Hg 4.632 2.530 4.627
K 2.342 1.279 1.738
Mn 2.226 1.216 5.142
Mn 7.015 3.832 4.848
```

formation energy from the elements: 563 meV/atom
E: -17.486 eV for the cell shown

***

Entry from Alexandria: a geometry-optimized K4MnHg structure (PBE).

Cell and atoms, written as extended XYZ:
```
6
Lattice="5.823 1.407 4.726 1.761 7.190 1.849 -1.349 2.563 7.059" Properties=species:S:1:pos:R:3 pbc="T T T"
K 5.245 4.890 7.474
K 1.667 5.467 8.638
K 3.219 7.776 6.039
K 2.340 4.188 5.116
Mn 4.677 8.371 10.226
Hg 0.000 0.000 0.000
```

formation energy from the elements: 580 meV/atom
E: -10.383 eV for the cell shown

***

Entry from Alexandria: a geometry-optimized KMnHg2 structure (PBE).

Cell and atoms, written as extended XYZ:
```
4
Lattice="5.953 -0.003 0.000 2.309 5.487 0.000 -4.131 -2.742 3.295" Properties=species:S:1:pos:R:3 pbc="T T T"
Hg 0.000 0.000 0.000
Hg 1.154 2.744 1.648
K 4.131 2.742 0.000
Mn 2.977 -0.002 1.648
```

formation energy from the elements: 373 meV/atom
energy relative to the lowest polymorph listed for this composition: 222.5 meV/atom
E: -9.378 eV for the cell shown

***

Entry from Alexandria: a geometry-optimized KMnHg structure (PBE).

Cell and atoms, written as extended XYZ:
```
3
Lattice="-3.857 -0.493 -2.690 3.851 -2.594 -0.891 -1.710 -3.607 3.112" Properties=species:S:1:pos:R:3 pbc="T T T"
Hg -1.426 -3.007 2.594
K 0.712 -3.096 -0.453
Mn -2.713 -4.199 0.503
```

formation energy from the elements: 440 meV/atom
energy relative to the lowest polymorph listed for this composition: 78.8 meV/atom
E: -9.250 eV for the cell shown

***

Entry from Alexandria: a geometry-optimized KMnHg2 structure (PBE).

Cell and atoms, written as extended XYZ:
```
4
Lattice="8.320 -0.076 -0.191 6.571 5.105 0.191 -7.172 -3.325 2.604" Properties=species:S:1:pos:R:3 pbc="T T T"
Hg 1.228 0.415 0.000
Hg 4.340 -0.429 1.207
K 6.511 2.199 0.000
Mn 3.085 2.033 1.398
```

formation energy from the elements: 181 meV/atom
energy relative to the lowest polymorph listed for this composition: 30.1 meV/atom
E: -10.148 eV for the cell shown

***

Entry from Alexandria: a geometry-optimized KMn2Hg structure (PBE).

Cell and atoms, written as extended XYZ:
```
8
Lattice="5.220 0.000 0.000 0.000 5.220 0.000 2.610 2.610 9.490" Properties=species:S:1:pos:R:3 pbc="T T T"
K 2.610 2.610 0.000
K 2.610 5.220 4.745
Mn 5.218 1.305 2.373
Mn 5.222 3.915 2.373
Mn 3.915 2.612 7.118
Mn 6.525 2.608 7.118
Hg 0.000 0.000 0.000
Hg 5.220 2.610 4.745
```

formation energy from the elements: 782 meV/atom
E: -33.223 eV for the cell shown

***

Entry from Alexandria: a geometry-optimized KMnHg2 structure (PBE).

Cell and atoms, written as extended XYZ:
```
4
Lattice="5.400 0.000 0.000 0.000 5.401 0.000 0.000 0.000 3.500" Properties=species:S:1:pos:R:3 pbc="T T T"
Hg 0.000 0.000 0.000
Hg 2.700 2.701 0.000
K 2.700 0.000 1.750
Mn 0.000 2.701 1.750
```

formation energy from the elements: 304 meV/atom
energy relative to the lowest polymorph listed for this composition: 153.3 meV/atom
E: -9.655 eV for the cell shown

***

Entry from Alexandria: a geometry-optimized KMnHg2 structure (PBE).

Cell and atoms, written as extended XYZ:
```
4
Lattice="-3.001 -1.307 3.534 1.214 -3.563 3.006 2.090 2.513 5.944" Properties=species:S:1:pos:R:3 pbc="T T T"
Hg 1.894 2.210 5.673
Hg -0.350 -1.248 2.534
K 0.202 -1.096 6.293
Mn 0.800 -0.888 10.171
```

formation energy from the elements: 168 meV/atom
energy relative to the lowest polymorph listed for this composition: 17.7 meV/atom
E: -10.198 eV for the cell shown

***

Entry from Alexandria: a geometry-optimized KMn2Hg structure (PBE).

Cell and atoms, written as extended XYZ:
```
4
Lattice="-1.621 -1.934 -1.988 2.079 -2.318 0.560 -4.997 -2.831 6.829" Properties=species:S:1:pos:R:3 pbc="T T T"
Hg -2.201 -1.247 3.008
K -3.518 -4.249 4.407
Mn -0.359 -0.203 0.490
Mn -0.961 -2.800 0.912
```

formation energy from the elements: 541 meV/atom
E: -17.575 eV for the cell shown

***

Entry from Alexandria: a geometry-optimized KMn2Hg structure (PBE).

Cell and atoms, written as extended XYZ:
```
4
Lattice="-3.124 4.102 -0.370 -3.846 2.515 2.368 3.226 4.315 3.354" Properties=species:S:1:pos:R:3 pbc="T T T"
Hg -2.808 8.199 4.013
K -0.936 2.733 1.338
Mn 2.587 3.732 2.847
Mn -1.233 6.049 3.182
```

formation energy from the elements: 788 meV/atom
E: -16.586 eV for the cell shown

***

Entry from Alexandria: a geometry-optimized KMnHg2 structure (PBE).

Cell and atoms, written as extended XYZ:
```
4
Lattice="-4.100 -0.241 -2.332 -2.679 -3.380 -1.925 -4.653 -1.346 5.860" Properties=species:S:1:pos:R:3 pbc="T T T"
Hg -4.443 -1.317 5.354
Hg -5.927 -2.514 1.307
K -2.858 -1.242 0.401
Mn -8.575 -3.726 1.203
```

formation energy from the elements: 220 meV/atom
energy relative to the lowest polymorph listed for this composition: 69.8 meV/atom
E: -9.989 eV for the cell shown

***

Entry from Alexandria: a geometry-optimized KMn3Hg structure (PBE).

Cell and atoms, written as extended XYZ:
```
5
Lattice="-0.419 4.829 0.924 -3.863 -0.897 2.936 3.041 -0.474 3.857" Properties=species:S:1:pos:R:3 pbc="T T T"
K 0.000 0.000 0.000
Mn -1.932 -0.449 1.468
Mn 1.521 -0.237 1.928
Mn -0.210 2.414 0.462
Hg -0.621 1.729 3.858
```

formation energy from the elements: 2049 meV/atom
energy relative to the lowest polymorph listed for this composition: 1054.1 meV/atom
E: -18.661 eV for the cell shown

***

Entry from Alexandria: a geometry-optimized KMn2Hg structure (PBE).

Cell and atoms, written as extended XYZ:
```
4
Lattice="-4.016 -1.340 -2.552 2.519 -2.499 -2.653 -0.571 -3.456 2.713" Properties=species:S:1:pos:R:3 pbc="T T T"
Hg -0.748 -1.920 -2.602
K -2.293 -2.398 0.080
Mn 0.000 0.000 0.000
Mn 0.974 -2.977 0.030
```

formation energy from the elements: 861 meV/atom
E: -16.293 eV for the cell shown

***

Entry from Alexandria: a geometry-optimized KMn3Hg structure (PBE).

Cell and atoms, written as extended XYZ:
```
5
Lattice="5.251 0.000 0.000 0.000 5.251 0.000 0.000 0.000 5.251" Properties=species:S:1:pos:R:3 pbc="T T T"
K 2.625 2.625 2.625
Mn 0.000 2.625 0.000
Mn 0.000 0.000 2.625
Mn 2.625 0.000 0.000
Hg 0.000 0.000 0.000
```

formation energy from the elements: 995 meV/atom
energy relative to the lowest polymorph listed for this composition: 0.0 meV/atom
E: -23.931 eV for the cell shown

***

Entry from Alexandria: a geometry-optimized KMn2Hg structure (PBE).

Cell and atoms, written as extended XYZ:
```
4
Lattice="-1.235 1.420 2.539 -3.675 -1.497 -0.951 1.493 -6.405 4.309" Properties=species:S:1:pos:R:3 pbc="T T T"
Hg -2.082 -1.640 1.871
K -1.335 -4.842 4.026
Mn 0.129 -0.553 0.372
Mn 0.618 -2.650 1.783
```

formation energy from the elements: 683 meV/atom
E: -17.005 eV for the cell shown

***

Entry from Alexandria: a geometry-optimized KMnHg structure (PBE).

Cell and atoms, written as extended XYZ:
```
3
Lattice="-3.779 -1.891 -5.356 0.687 -4.753 -4.845 0.043 1.715 6.603" Properties=species:S:1:pos:R:3 pbc="T T T"
Hg -0.158 -0.340 -0.521
K -1.043 -2.242 -3.442
Mn -1.890 -4.063 -6.237
```

formation energy from the elements: 361 meV/atom
energy relative to the lowest polymorph listed for this composition: 0.0 meV/atom
E: -9.487 eV for the cell shown

***

Entry from Alexandria: a geometry-optimized KMn2Hg structure (PBE).

Cell and atoms, written as extended XYZ:
```
4
Lattice="10.765 -0.002 -0.001 10.287 3.172 -0.001 10.287 1.549 2.768" Properties=species:S:1:pos:R:3 pbc="T T T"
Hg 7.835 1.180 0.691
K 23.504 3.539 2.074
Mn 30.924 4.656 2.729
Mn 16.084 2.422 1.419
```

formation energy from the elements: 785 meV/atom
E: -16.598 eV for the cell shown

***

Entry from Alexandria: a geometry-optimized KMn2Hg structure (PBE).

Cell and atoms, written as extended XYZ:
```
4
Lattice="-2.135 -0.341 -4.340 -1.965 -2.055 1.128 -5.072 4.359 2.154" Properties=species:S:1:pos:R:3 pbc="T T T"
Hg -2.827 0.406 -1.349
K -6.346 1.557 0.292
Mn -0.553 0.338 0.246
Mn -2.965 0.814 1.395
```

formation energy from the elements: 657 meV/atom
E: -17.111 eV for the cell shown

***

Entry from Alexandria: a geometry-optimized KMnHg2 structure (PBE).

Cell and atoms, written as extended XYZ:
```
4
Lattice="-1.013 -3.079 -1.067 3.036 -0.300 -2.018 3.878 -3.477 6.352" Properties=species:S:1:pos:R:3 pbc="T T T"
Hg 3.645 -3.268 5.971
Hg 2.172 -1.947 3.557
K 1.981 -2.559 0.046
Mn 3.920 -4.297 3.222
```

formation energy from the elements: 151 meV/atom
energy relative to the lowest polymorph listed for this composition: 0.0 meV/atom
E: -10.268 eV for the cell shown